Material: Ac2La5Nd5
Method: DFT, PBE-GGA
State: relaxed

Unit cell a=5.3380 b=8.3797 c=11.2572 alpha=72.57 beta=76.29 gamma=71.43
Last column: nearest neighbours and their distance in Å.
Fractional positions:
Ac (0.9171, 0.4175, 0.7483)  7 La 3.75-3.79, 5 Nd 3.76-3.78
Ac (0.0829, 0.5825, 0.2517)  7 La 3.75-3.79, 5 Nd 3.76-3.78
La (0.5000, 0.5000, 0.5000)  4 Ac 3.75, 2 La 3.76, 6 Nd 3.77-3.80
La (0.3352, 0.3305, 0.9991)  4 La 3.72-3.79, 5 Nd 3.74-3.78, 3 Ac 3.77-3.79
La (0.4138, 0.9213, 0.2512)  7 Nd 3.67-3.77, 3 La 3.72-3.76, 2 Ac 3.79
La (0.5862, 0.0787, 0.7488)  7 Nd 3.67-3.77, 3 La 3.72-3.76, 2 Ac 3.79
La (0.6648, 0.6695, 0.0009)  4 La 3.72-3.79, 5 Nd 3.74-3.78, 3 Ac 3.77-3.79
Nd (0.8298, 0.8398, 0.5006)  5 La 3.67-3.80, 5 Nd 3.69-3.76, 2 Ac 3.76-3.78
Nd (0.2480, 0.7540, 0.7499)  4 Nd 3.69-3.76, 6 La 3.71-3.78, 2 Ac 3.78
Nd (0.7520, 0.2460, 0.2501)  4 Nd 3.69-3.76, 6 La 3.71-3.78, 2 Ac 3.78
Nd (0.1702, 0.1602, 0.4994)  5 La 3.67-3.80, 5 Nd 3.69-3.76, 2 Ac 3.76-3.78
Nd (0.0000, 0.0000, 0.0000)  2 Nd 3.73, 8 La 3.74-3.77, 2 Ac 3.76

## Properties
Density of states at the Fermi level ... 1.781 states/eV/atom
Crystal system ... monoclinic
Raw total energy ... -0.3458 Ry/atom